Model i:
A plane-wave DFT calculation with PBE-GGA was carried out for a relaxed ZrSc2In2 crystal.

Structure (CIF):
```
data_ZrSc2In2
_chemical_formula_sum 'Zr4 Sc8 In8'
_space_group_name_H-M_alt 'P -1'
_space_group_IT_number 2
_space_group_name_Hall '-P 1'
_cell_length_a 5.3954
_cell_length_b 8.2642
_cell_length_c 10.5796
_cell_angle_alpha 89.33
_cell_angle_beta 77.54
_cell_angle_gamma 89.15
loop_
_atom_site_label
_atom_site_type_symbol
_atom_site_fract_x
_atom_site_fract_y
_atom_site_fract_z
Zr1 Zr 0.0480 0.3585 0.2523
Zr2 Zr 0.3314 0.1212 0.7542
Sc1 Sc 0.0583 0.3274 0.5550
Sc2 Sc 0.2487 0.4125 0.9506
Sc3 Sc 0.3736 0.7695 0.8697
Sc4 Sc 0.3990 0.8271 0.5569
In1 In 0.1417 0.0233 0.3573
In2 In 0.1878 0.0664 0.0626
In3 In 0.2110 0.7017 0.1567
In4 In 0.4934 0.5205 0.3476
```

Properties
Volume, Å³/cell: 460.6
Crystal system: triclinic


Model ii:
A plane-wave DFT calculation with PBE-GGA was carried out for a relaxed ZrSc2In2 crystal.

Structure (CIF):
```
data_ZrSc2In2
_chemical_formula_sum 'Zr2 Sc4 In4'
_space_group_name_H-M_alt 'P 4/m b m'
_space_group_IT_number 127
_space_group_name_Hall '-P 4 2ab'
_cell_length_a 8.5448
_cell_length_b 8.5448
_cell_length_c 3.1722
_cell_angle_alpha 90.00
_cell_angle_beta 90.00
_cell_angle_gamma 90.00
loop_
_atom_site_label
_atom_site_type_symbol
_atom_site_fract_x
_atom_site_fract_y
_atom_site_fract_z
Zr1 Zr 0.0000 0.0000 0.0000
Sc1 Sc 0.1220 0.3780 0.0000
In1 In 0.1766 0.6766 0.5000
```

Properties
Volume, Å³/cell: 231.6
Crystal system: tetragonal


Model iii:
A plane-wave DFT calculation with PBE-GGA was carried out for a relaxed ZrSc2In2 crystal.

Structure (CIF):
```
data_ZrSc2In2
_chemical_formula_sum 'Zr2 Sc4 In4'
_space_group_name_H-M_alt 'P 4/m b m'
_space_group_IT_number 127
_space_group_name_Hall '-P 4 2ab'
_cell_length_a 8.1547
_cell_length_b 8.1547
_cell_length_c 3.5082
_cell_angle_alpha 90.00
_cell_angle_beta 90.00
_cell_angle_gamma 90.00
loop_
_atom_site_label
_atom_site_type_symbol
_atom_site_fract_x
_atom_site_fract_y
_atom_site_fract_z
Zr1 Zr 0.0000 0.0000 0.0000
Sc1 Sc 0.1731 0.3269 0.5000
In1 In 0.1294 0.6294 0.0000
```

Properties
Volume, Å³/cell: 233.3
Crystal system: tetragonal


Verdict on stability: model ii comes out at the bottom.


Model i:
A plane-wave DFT calculation with PBE-GGA was carried out for a relaxed Zr2Sc3In crystal.

Structure (CIF):
```
data_Zr2Sc3In
_chemical_formula_sum 'Zr8 Sc12 In4'
_space_group_name_H-M_alt 'C m c m'
_space_group_IT_number 63
_space_group_name_Hall '-C 2c 2'
_cell_length_a 6.2550
_cell_length_b 15.7606
_cell_length_c 5.7648
_cell_angle_alpha 90.00
_cell_angle_beta 90.00
_cell_angle_gamma 90.00
loop_
_atom_site_label
_atom_site_type_symbol
_atom_site_fract_x
_atom_site_fract_y
_atom_site_fract_z
Zr1 Zr 0.2438 0.0000 0.0000
Sc1 Sc 0.0000 0.1486 0.2500
Sc2 Sc 0.2475 0.1730 0.7500
In1 In 0.0000 0.3473 0.7500
```

Properties
Volume, Å³/cell: 568.3
Crystal system: orthorhombic


Model ii:
A plane-wave DFT calculation with PBE-GGA was carried out for a relaxed Zr2Sc3In crystal.

Structure (CIF):
```
data_Zr2Sc3In
_chemical_formula_sum 'Zr4 Sc6 In2'
_space_group_name_H-M_alt 'P m c 21'
_space_group_IT_number 26
_space_group_name_Hall 'P 2c -2'
_cell_length_a 4.9986
_cell_length_b 9.6226
_cell_length_c 5.8447
_cell_angle_alpha 90.00
_cell_angle_beta 90.00
_cell_angle_gamma 90.00
loop_
_atom_site_label
_atom_site_type_symbol
_atom_site_fract_x
_atom_site_fract_y
_atom_site_fract_z
Zr1 Zr 0.0000 0.0788 0.0000
Zr2 Zr 0.5000 0.2495 0.8411
Sc1 Sc 0.0000 0.2443 0.4994
Sc2 Sc 0.0000 0.4218 0.0517
Sc3 Sc 0.5000 0.0838 0.3116
In1 In 0.5000 0.4157 0.3629
```

Properties
Volume, Å³/cell: 281.1
Crystal system: orthorhombic


Verdict on stability: model i comes out at the bottom.